PRuAu2: optimized geometry, PBE.

## Properties
**Energy**: -38.784 eV for the cell shown

Cell: 4.304 4.304 6.951 Å, 90.00 90.00 90.00°
Space group I-4m2 (No. 119)
One atom of each set of equivalent atoms:
P1 0.000 0.000 0.000 [2 per cell]
Ru1 0.000 0.500 0.750 [2 per cell]
Au1 0.000 0.000 0.500 [2 per cell]
Au2 0.000 0.500 0.250 [2 per cell]

P2RuAu: optimized geometry, PBE.

## Properties
**Energy relative to the lowest polymorph listed for this composition**: 620 meV per atom

Cell: 3.121 3.961 5.015 Å, 90.00 90.00 90.00°
Space group Pmmm (No. 47)
One atom of each set of equivalent atoms:
P1 0.000 0.000 0.000 [1 per cell]
P2 0.500 0.000 0.500 [1 per cell]
Ru1 0.000 0.500 0.500 [1 per cell]
Au1 0.500 0.500 0.000 [1 per cell]

PRu2Au: optimized geometry, PBE.

## Properties
**Energy**: -52.977 eV for the cell shown

Cell: 4.259 2.873 10.164 Å, 90.00 90.00 90.00°
Space group Amm2 (No. 38)
One atom of each set of equivalent atoms:
P1 0.000 0.000 0.000 [2 per cell]
Ru1 0.000 0.000 0.686 [2 per cell]
Ru2 0.500 0.000 0.081 [2 per cell]
Au1 0.500 0.000 0.340 [2 per cell]

PRu2Au: optimized geometry, PBE.

## Properties
**Energy**: -50.705 eV for the cell shown

Cell: 3.852 3.852 7.940 Å, 90.00 90.00 90.00°
Space group I-4m2 (No. 119)
One atom of each set of equivalent atoms:
P1 0.000 0.000 0.000 [2 per cell]
Ru1 0.000 0.000 0.500 [2 per cell]
Ru2 0.000 0.500 0.750 [2 per cell]
Au1 0.000 0.500 0.250 [2 per cell]

PRuAu2: optimized geometry, PBE.

## Properties
**Energy**: -19.381 eV for the cell shown

Cell: 3.802 3.802 4.484 Å, 90.00 90.00 90.00°
Space group P4/mmm (No. 123)
One atom of each set of equivalent atoms:
P1 0.000 0.000 0.000 [1 per cell]
Ru1 0.500 0.500 0.000 [1 per cell]
Au1 0.000 0.500 0.500 [2 per cell]

PRu2Au: optimized geometry, PBE.

## Properties
**Energy**: -51.164 eV for the cell shown

Cell: 2.820 4.765 9.391 Å, 90.00 90.00 90.00°
Space group Cmm2 (No. 35)
One atom of each set of equivalent atoms:
P1 0.000 0.000 0.000 [2 per cell]
Ru1 0.000 0.000 0.440 [2 per cell]
Ru2 0.000 0.500 0.200 [2 per cell]
Au1 0.000 0.500 0.704 [2 per cell]

PRu2Au: optimized geometry, PBE.

## Properties
**Energy**: -26.448 eV for the cell shown

Cell: 2.781 3.716 6.085 Å, 90.00 90.00 90.00°
Space group Pmm2 (No. 25)
One atom of each set of equivalent atoms:
P1 0.000 0.000 0.000 [1 per cell]
Ru1 0.000 0.000 0.371 [1 per cell]
Ru2 0.500 0.500 0.107 [1 per cell]
Au1 0.500 0.500 0.629 [1 per cell]

PRuAu2: optimized geometry, PBE.

## Properties
**Energy**: -19.200 eV for the cell shown

Cell: 2.804 2.804 8.473 Å, 90.00 90.00 90.00°
Space group P4/mmm (No. 123)
One atom of each set of equivalent atoms:
P1 0.000 0.000 0.000 [1 per cell]
Ru1 0.000 0.000 0.500 [1 per cell]
Au1 0.500 0.500 0.255 [2 per cell]

PRuAu2: optimized geometry, PBE.

## Properties
**Energy**: -78.804 eV for the cell shown

Cell: 7.360 7.360 5.002 Å, 90.00 90.00 90.00°
Space group I-42d (No. 122)
One atom of each set of equivalent atoms:
P1 0.000 0.000 0.000 [4 per cell]
Ru1 0.000 0.000 0.500 [4 per cell]
Au1 0.212 0.750 0.125 [8 per cell]

PRu2Au: optimized geometry, PBE.

## Properties
**Energy**: -54.622 eV for the cell shown

Cell: 2.916 3.053 14.037 Å, 90.00 90.00 90.00°
Space group Imm2 (No. 44)
One atom of each set of equivalent atoms:
P1 0.000 0.000 0.000 [2 per cell]
Ru1 0.000 0.000 0.427 [2 per cell]
Ru2 0.000 0.500 0.119 [2 per cell]
Au1 0.000 0.500 0.757 [2 per cell]

PRu2Au: optimized geometry, PBE.

## Properties
**Energy**: -25.987 eV for the cell shown

Cell: 4.340 4.340 3.094 Å, 90.00 90.00 90.00°
Space group P4/mmm (No. 123)
One atom of each set of equivalent atoms:
P1 0.000 0.000 0.000 [1 per cell]
Ru1 0.000 0.500 0.500 [2 per cell]
Au1 0.500 0.500 0.000 [1 per cell]

PRu2Au: optimized geometry, PBE.

## Properties
**Energy**: -53.310 eV for the cell shown

Cell: 2.885 4.921 8.503 Å, 90.00 90.00 90.00°
Space group Cmmm (No. 65)
One atom of each set of equivalent atoms:
P1 0.000 0.000 0.000 [2 per cell]
Ru1 0.000 0.500 0.206 [4 per cell]
Au1 0.000 0.000 0.500 [2 per cell]

P2RuAu: optimized geometry, PBE.

## Properties
**Energy relative to the lowest polymorph listed for this composition**: 362 meV per atom

Cell: 2.808 4.724 10.564 Å, 90.00 90.00 90.00°
Space group Immm (No. 71)
One atom of each set of equivalent atoms:
P1 0.000 0.000 0.181 [4 per cell]
Ru1 0.000 0.500 0.500 [2 per cell]
Au1 0.000 0.500 0.000 [2 per cell]

P2RuAu: optimized geometry, PBE.

## Properties
**Energy relative to the lowest polymorph listed for this composition**: 251 meV per atom

Cell: 2.989 3.725 5.558 Å, 90.00 90.00 90.00°
Space group Pmm2 (No. 25)
One atom of each set of equivalent atoms:
P1 0.000 0.000 0.000 [1 per cell]
P2 0.500 0.500 0.330 [1 per cell]
Ru1 0.000 0.000 0.423 [1 per cell]
Au1 0.500 0.500 0.789 [1 per cell]

PRu4Au: optimized geometry, PBE.

## Properties
**Energy**: -163.219 eV for the cell shown

Cell: 7.263 7.263 7.263 Å, 90.00 90.00 90.00°
Space group F-43m (No. 216)
One atom of each set of equivalent atoms:
P1 0.000 0.000 0.000 [4 per cell]
Ru1 0.125 0.125 0.625 [16 per cell]
Au1 0.250 0.250 0.250 [4 per cell]

PRuAu2: optimized geometry, PBE.

## Properties
**Energy**: -38.593 eV for the cell shown

Cell: 5.375 8.432 2.867 Å, 90.00 90.00 90.00°
Space group Cmmm (No. 65)
One atom of each set of equivalent atoms:
P1 0.000 0.000 0.000 [2 per cell]
Ru1 0.000 0.500 0.000 [2 per cell]
Au1 0.250 0.250 0.500 [4 per cell]

P2RuAu: optimized geometry, PBE.

## Properties
**Energy relative to the lowest polymorph listed for this composition**: 157 meV per atom

Cell: 3.253 4.694 4.265 Å, 90.00 100.46 90.00°
Space group Pm (No. 6)
One atom of each set of equivalent atoms:
P1 0.000 0.000 0.000 [1 per cell]
P2 0.448 0.500 0.286 [1 per cell]
Ru1 0.834 0.500 0.885 [1 per cell]
Au1 0.422 0.000 0.541 [1 per cell]

PRuAu2: optimized geometry, PBE.

## Properties
**Energy**: -19.498 eV for the cell shown

Cell: 2.999 4.400 4.962 Å, 90.00 90.00 90.00°
Space group Pmmm (No. 47)
One atom of each set of equivalent atoms:
P1 0.000 0.000 0.000 [1 per cell]
Ru1 0.500 0.500 0.000 [1 per cell]
Au1 0.000 0.500 0.500 [1 per cell]
Au2 0.500 0.000 0.500 [1 per cell]

PRu2Au: optimized geometry, PBE.

## Properties
**Energy**: -50.239 eV for the cell shown

Cell: 5.443 8.797 2.857 Å, 90.00 118.11 90.00°
Space group C2/m (No. 12)
One atom of each set of equivalent atoms:
P1 0.000 0.000 0.000 [2 per cell]
Ru1 0.250 0.250 0.500 [4 per cell]
Au1 0.000 0.500 0.000 [2 per cell]

P3RuAu: optimized geometry, PBE.

## Properties
**Energy relative to the lowest polymorph listed for this composition**: 0 meV per atom

Cell: 4.579 4.579 4.579 Å, 90.00 90.00 90.00°
Space group Pm-3m (No. 221)
One atom of each set of equivalent atoms:
P1 0.000 0.000 0.500 [3 per cell]
Ru1 0.000 0.000 0.000 [1 per cell]
Au1 0.500 0.500 0.500 [1 per cell]